Computed, not measured: a geometry-optimized SrIn2GaPd4 structure at the PBE level of DFT.

Calculated values
As for the crystal system: trigonal. The calculation puts the formation enthalpy at 0 K at -0.584 eV/atom. The total magnetization is 0.000 μB per atom. The value obtained for the total DFT energy (no corrections) is -35.6 eV per formula unit. The space group is R-3m (166).

Cell lengths 9.4310, 9.4310, 9.4310 Å; angles 27.99, 27.99, 27.99 degrees
Fractional coordinates of all 8 atoms:
Sr  0.0000  0.0000  0.0000
In  0.2421  0.2421  0.2421
In  0.7579  0.7579  0.7579
Ga  0.5000  0.5000  0.5000
Pd  0.1366  0.1366  0.1366
Pd  0.4081  0.4081  0.4081
Pd  0.5919  0.5919  0.5919
Pd  0.8634  0.8634  0.8634